1.
! BeHgIN2 | Alexandria via LeMat-Bulk | meta-GGA SCAN | PBEsol geometry; values from VASP
! Formation energy without anion corrections, eV/atom: 1.996
! ρ, Mg/m³: 5.11
&SYSTEM
  ibrav = 0, nat = 5, ntyp = 4
/
ATOMIC_SPECIES
Be 9.01 Be.upf
Hg 200.59 Hg.upf
I 126.90 I.upf
N 14.01 N.upf
CELL_PARAMETERS angstrom
4.070 0.000 0.000
0.000 4.070 0.000
0.000 0.000 7.154
ATOMIC_POSITIONS crystal
Be 0.000 0.000 0.000
Hg 0.500 0.500 0.500
I 0.500 0.500 0.000
N 0.000 0.500 0.500
N 0.500 0.000 0.500

2.
! La4ReSe | Alexandria via LeMat-Bulk | meta-GGA SCAN | PBEsol geometry; values from VASP
! Formation energy without anion corrections, eV/atom: 0.649
! ρ, Mg/m³: 8.75
&SYSTEM
  ibrav = 0, nat = 6, ntyp = 3
/
ATOMIC_SPECIES
La 138.91 La.upf
Re 186.21 Re.upf
Se 78.96 Se.upf
CELL_PARAMETERS angstrom
0.000 4.271 4.271
4.271 0.000 4.271
4.271 4.271 0.000
ATOMIC_POSITIONS crystal
La 0.376 0.376 0.376
La 0.376 0.376 0.873
La 0.376 0.873 0.376
La 0.873 0.376 0.376
Re 0.750 0.750 0.750
Se 0.000 0.000 0.000

3.
! TiTlV4S8 | Alexandria via LeMat-Bulk | meta-GGA SCAN | PBEsol geometry; values from VASP
! Formation energy without anion corrections, eV/atom: -1.123
! ρ, Mg/m³: 5.23
&SYSTEM
  ibrav = 0, nat = 14, ntyp = 4
/
ATOMIC_SPECIES
Ti 47.87 Ti.upf
Tl 204.38 Tl.upf
V 50.94 V.upf
S 32.06 S.upf
CELL_PARAMETERS angstrom
8.687 -1.600 0.000
8.687 1.600 0.000
-2.015 0.000 8.130
ATOMIC_POSITIONS crystal
Ti 0.000 0.000 0.000
Tl 0.500 0.500 0.500
V 0.289 0.289 0.640
V 0.349 0.349 0.004
V 0.651 0.651 0.996
V 0.711 0.711 0.360
S 0.088 0.088 0.816
S 0.160 0.160 0.503
S 0.243 0.243 0.161
S 0.423 0.423 0.814
S 0.577 0.577 0.186
S 0.757 0.757 0.839
S 0.840 0.840 0.497
S 0.912 0.912 0.184

4.
! LaHg3Ge | Alexandria via LeMat-Bulk | meta-GGA SCAN | PBEsol geometry; values from VASP
! ρ, Mg/m³: 7.05
! ΔE_f, eV/atom: 0.7609
&SYSTEM
  ibrav = 0, nat = 5, ntyp = 3
/
ATOMIC_SPECIES
La 138.91 La.upf
Hg 200.59 Hg.upf
Ge 72.64 Ge.upf
CELL_PARAMETERS angstrom
5.765 0.000 0.000
0.000 5.765 0.000
0.000 0.000 5.765
ATOMIC_POSITIONS crystal
La 0.000 0.000 0.000
Hg 0.000 0.000 0.500
Hg 0.000 0.500 0.000
Hg 0.500 0.000 0.000
Ge 0.500 0.500 0.500

5.
! CrIr2OsPb | Alexandria via LeMat-Bulk | meta-GGA SCAN | PBEsol geometry; values from VASP
! ρ, Mg/m³: 13.23
! ΔE_f, eV/atom: 1.2024
&SYSTEM
  ibrav = 0, nat = 5, ntyp = 4
/
ATOMIC_SPECIES
Cr 52.00 Cr.upf
Ir 192.22 Ir.upf
Os 190.23 Os.upf
Pb 207.20 Pb.upf
CELL_PARAMETERS angstrom
4.770 0.000 0.000
0.000 4.770 0.000
0.000 0.000 4.601
ATOMIC_POSITIONS crystal
Cr 0.000 0.000 0.000
Ir 0.000 0.500 0.500
Ir 0.500 0.000 0.500
Os 0.000 0.000 0.500
Pb 0.500 0.500 0.000

6.
! Ti2TlF | Alexandria via LeMat-Bulk | meta-GGA SCAN | PBEsol geometry; values from VASP
! Formation energy without anion corrections, eV/atom: -0.529
! ρ, Mg/m³: 8.06
&SYSTEM
  ibrav = 0, nat = 4, ntyp = 3
/
ATOMIC_SPECIES
Ti 47.87 Ti.upf
Tl 204.38 Tl.upf
F 19.00 F.upf
CELL_PARAMETERS angstrom
0.000 3.204 3.204
3.204 0.000 3.204
3.204 3.204 0.000
ATOMIC_POSITIONS crystal
Ti 0.250 0.250 0.250
Ti 0.750 0.750 0.750
Tl 0.000 0.000 0.000
F 0.500 0.500 0.500

7.
! BaCoTc4 | Alexandria via LeMat-Bulk | meta-GGA SCAN | PBEsol geometry; values from VASP
! ρ, Mg/m³: 9.47
! ΔE_f, eV/atom: 1.0406
&SYSTEM
  ibrav = 0, nat = 6, ntyp = 3
/
ATOMIC_SPECIES
Ba 137.33 Ba.upf
Co 58.93 Co.upf
Tc 98.00 Tc.upf
CELL_PARAMETERS angstrom
0.000 3.723 3.723
3.723 0.000 3.723
3.723 3.723 0.000
ATOMIC_POSITIONS crystal
Ba 0.000 0.000 0.000
Co 0.250 0.250 0.250
Tc 0.128 0.624 0.624
Tc 0.624 0.128 0.624
Tc 0.624 0.624 0.128
Tc 0.624 0.624 0.624

8.
! BeFe | Alexandria via LeMat-Bulk | meta-GGA SCAN | PBEsol geometry; values from VASP
! ρ, Mg/m³: 6.26
! ΔE_f, eV/atom: 0.0115
&SYSTEM
  ibrav = 0, nat = 4, ntyp = 2
/
ATOMIC_SPECIES
Be 9.01 Be.upf
Fe 55.84 Fe.upf
CELL_PARAMETERS angstrom
2.540 0.000 0.000
0.000 2.540 0.000
0.000 0.000 5.331
ATOMIC_POSITIONS crystal
Be 0.250 0.250 0.110
Be 0.750 0.750 0.890
Fe 0.250 0.250 0.635
Fe 0.750 0.750 0.365

9.
! FeRu2Au | Alexandria via LeMat-Bulk | meta-GGA SCAN | PBEsol geometry; values from VASP
! Energy above the most stable polymorph in this dataset, meV/atom: 195
! ρ, Mg/m³: 13.44
! ΔE_f, eV/atom: 0.3816
&SYSTEM
  ibrav = 0, nat = 4, ntyp = 3
/
ATOMIC_SPECIES
Fe 55.84 Fe.upf
Ru 101.07 Ru.upf
Au 196.97 Au.upf
CELL_PARAMETERS angstrom
2.782 0.000 0.000
0.000 4.466 0.000
0.000 0.000 4.522
ATOMIC_POSITIONS crystal
Fe 0.000 0.000 0.000
Ru 0.000 0.500 0.500
Ru 0.500 0.000 0.500
Au 0.500 0.500 0.000

10.
! Cs2TlRu | Alexandria via LeMat-Bulk | meta-GGA SCAN | PBEsol geometry; values from VASP
! ρ, Mg/m³: 6.84
! ΔE_f, eV/atom: 1.1551
&SYSTEM
  ibrav = 0, nat = 4, ntyp = 3
/
ATOMIC_SPECIES
Cs 132.91 Cs.upf
Tl 204.38 Tl.upf
Ru 101.07 Ru.upf
CELL_PARAMETERS angstrom
0.000 4.109 4.109
4.109 0.000 4.109
4.109 4.109 0.000
ATOMIC_POSITIONS crystal
Cs 0.250 0.250 0.250
Cs 0.750 0.750 0.750
Tl 0.000 0.000 0.000
Ru 0.500 0.500 0.500

11.
! BeCdW2 | Alexandria via LeMat-Bulk | meta-GGA SCAN | PBEsol geometry; values from VASP
! Energy above the most stable polymorph in this dataset, meV/atom: 0
! ρ, Mg/m³: 13.98
! ΔE_f, eV/atom: 0.4665
&SYSTEM
  ibrav = 0, nat = 4, ntyp = 3
/
ATOMIC_SPECIES
Be 9.01 Be.upf
Cd 112.41 Cd.upf
W 183.84 W.upf
CELL_PARAMETERS angstrom
2.747 0.000 0.000
0.000 2.747 0.000
0.000 0.000 7.699
ATOMIC_POSITIONS crystal
Be 0.000 0.000 0.000
Cd 0.000 0.000 0.500
W 0.500 0.500 0.201
W 0.500 0.500 0.799

12.
! SnH2S2 | Alexandria via LeMat-Bulk | meta-GGA SCAN | PBEsol geometry; values from VASP
! ρ, Mg/m³: 3.75
! Total DFT energy (no corrections), eV/atom: -12.38
&SYSTEM
  ibrav = 0, nat = 10, ntyp = 3
/
ATOMIC_SPECIES
Sn 118.71 Sn.upf
H 1.01 H.upf
S 32.06 S.upf
CELL_PARAMETERS angstrom
7.275 0.000 0.000
0.000 7.275 0.000
0.000 0.000 3.089
ATOMIC_POSITIONS crystal
Sn 0.000 0.000 0.000
Sn 0.500 0.500 0.000
H 0.130 0.370 0.500
H 0.370 0.870 0.500
H 0.630 0.130 0.500
H 0.870 0.630 0.500
S 0.176 0.324 0.000
S 0.324 0.824 0.000
S 0.676 0.176 0.000
S 0.824 0.676 0.000